(1)
# CsInSeI2 PBE-GGA relaxed
data_CsInSeI2
_space_group_name_H-M_alt 'P 4/m m m'
_space_group_IT_number 123
_space_group_name_Hall '-P 4 2'
_cell_length_a 6.205
_cell_length_b 6.205
_cell_length_c 5.308
_cell_angle_alpha 90.00
_cell_angle_beta 90.00
_cell_angle_gamma 90.00
loop_
_atom_site_label
_atom_site_type_symbol
_atom_site_fract_x
_atom_site_fract_y
_atom_site_fract_z
Cs1 Cs 0.000 0.000 0.000
In1 In 0.500 0.500 0.500
Se1 Se 0.500 0.500 0.000
I1 I 0.000 0.500 0.500
# **ΔE_f (raw)**: -355 kJ/mol of formula units

(2)
# BeZn2Re PBE-GGA relaxed
data_BeZn2Re
_space_group_name_H-M_alt 'I 4/m m m'
_space_group_IT_number 139
_space_group_name_Hall '-I 4 2'
_cell_length_a 3.461
_cell_length_b 3.461
_cell_length_c 8.512
_cell_angle_alpha 90.00
_cell_angle_beta 90.00
_cell_angle_gamma 90.00
loop_
_atom_site_label
_atom_site_type_symbol
_atom_site_fract_x
_atom_site_fract_y
_atom_site_fract_z
Be1 Be 0.000 0.000 0.000
Zn1 Zn 0.000 0.500 0.250
Re1 Re 0.000 0.000 0.500
# **Energy relative to the elements**: 168 meV/atom

(3)
# Ta2Ru PBE-GGA relaxed
data_Ta2Ru
_space_group_name_H-M_alt 'P a -3'
_space_group_IT_number 205
_space_group_name_Hall '-P 2ac 2ab 3'
_cell_length_a 6.155
_cell_length_b 6.155
_cell_length_c 6.155
_cell_angle_alpha 90.00
_cell_angle_beta 90.00
_cell_angle_gamma 90.00
loop_
_atom_site_label
_atom_site_type_symbol
_atom_site_fract_x
_atom_site_fract_y
_atom_site_fract_z
Ta1 Ta 0.144 0.144 0.144
Ru1 Ru 0.000 0.000 0.500
# **Energy relative to the elements**: 536 meV/atom

(4)
# BeNiI2N PBE-GGA relaxed
data_BeNiI2N
_space_group_name_H-M_alt 'P 4/m m m'
_space_group_IT_number 123
_space_group_name_Hall '-P 4 2'
_cell_length_a 5.385
_cell_length_b 5.385
_cell_length_c 3.543
_cell_angle_alpha 90.00
_cell_angle_beta 90.00
_cell_angle_gamma 90.00
loop_
_atom_site_label
_atom_site_type_symbol
_atom_site_fract_x
_atom_site_fract_y
_atom_site_fract_z
Be1 Be 0.000 0.000 0.000
Ni1 Ni 0.500 0.500 0.500
I1 I 0.000 0.500 0.500
N1 N 0.500 0.500 0.000
# **ΔE_f (raw)**: 439 kJ/mol of formula units
# **Distance to the lowest polymorph of the same formula**: 187 meV per atom

(5)
# CsLiAsSe2 PBE-GGA relaxed
data_CsLiAsSe2
_space_group_name_H-M_alt 'C m m e'
_space_group_IT_number 67
_space_group_name_Hall '-C 2a 2'
_cell_length_a 5.530
_cell_length_b 15.930
_cell_length_c 6.717
_cell_angle_alpha 90.00
_cell_angle_beta 90.00
_cell_angle_gamma 90.00
loop_
_atom_site_label
_atom_site_type_symbol
_atom_site_fract_x
_atom_site_fract_y
_atom_site_fract_z
Cs1 Cs 0.000 0.250 0.244
Li1 Li 0.250 0.000 0.500
As1 As 0.000 0.000 0.000
Se1 Se 0.000 0.105 0.711
# **ΔE_f (raw)**: -280 kJ/mol of formula units
# **Distance to the lowest polymorph of the same formula**: 0 meV per atom

(6)
# GaPBr PBE-GGA relaxed
data_GaPBr
_space_group_name_H-M_alt 'P 1'
_space_group_IT_number 1
_space_group_name_Hall 'P 1'
_cell_length_a 3.568
_cell_length_b 5.817
_cell_length_c 8.109
_cell_angle_alpha 73.60
_cell_angle_beta 77.32
_cell_angle_gamma 72.14
loop_
_atom_site_label
_atom_site_type_symbol
_atom_site_fract_x
_atom_site_fract_y
_atom_site_fract_z
Ga1 Ga 0.000 0.000 0.000
Ga2 Ga 0.110 0.410 0.383
P1 P 0.236 0.595 0.932
P2 P 0.758 0.393 0.090
Br1 Br 0.412 0.877 0.299
Br2 Br 0.573 0.111 0.742
# **ΔE_f (raw)**: -79 kJ/mol of formula units
# **Distance to the lowest polymorph of the same formula**: 227 meV per atom

no.,E_tot (eV/atom)
1,-2.772
2,-4.513
3,-10.457
4,-3.276
5,-3.457
6,-3.643